# 1
DFT (PBE) results for a geometry-optimized NaAg2Sn2 structure.

abc: 8.5855 8.5855 3.2099
angles: 90.00 90.00 90.00
Fractional coordinates of all 10 atoms:
Na 0.0000 0.0000 0.0000
Na 0.5000 0.5000 0.0000
Sn 0.1615 0.6615 0.5000
Sn 0.6615 0.8385 0.5000
Sn 0.8385 0.3385 0.5000
Sn 0.3385 0.1615 0.5000
Ag 0.3661 0.8661 0.0000
Ag 0.8661 0.6339 0.0000
Ag 0.6339 0.1339 0.0000
Ag 0.1339 0.3661 0.0000

Values from the calculation:
- space group = P4/mbm
- crystal system = tetragonal
- distance to the lowest polymorph of the same formula (meV per atom) = 0

***

# 2
DFT (PBE) results for a geometry-optimized NaAg2Sn structure.

abc: 3.8332 4.6826 4.6826
angles: 90.00 90.00 90.00
Fractional coordinates of all 4 atoms:
Na 0.5000 0.0000 0.0000
Sn 0.5000 0.5000 0.5000
Ag 0.0000 0.0000 0.5000
Ag 0.0000 0.5000 0.0000

Values from the calculation:
- space group = P4/mmm
- crystal system = tetragonal

***

# 3
DFT (PBE) results for a geometry-optimized Na12Ag2Sn structure.

abc: 6.5160 6.5160 25.4537
angles: 90.00 90.00 90.27
Fractional coordinates of all 30 atoms:
Na 0.5000 0.5000 0.8039
Na 0.0000 0.0000 0.8039
Na 0.7500 0.7500 0.9136
Na 0.2500 0.7500 0.9129
Na 0.0000 0.0000 0.3271
Na 0.2500 0.7500 0.0871
Na 0.8176 0.3176 0.5640
Na 0.5000 0.5000 0.3271
Na 0.2500 0.2500 0.9136
Na 0.7500 0.7500 0.0864
Na 0.3175 0.1825 0.5638
Na 0.6824 0.1824 0.4360
Na 0.0000 0.0000 0.6729
Na 0.1825 0.3175 0.4362
Na 0.2500 0.2500 0.0864
Na 0.8175 0.6825 0.4362
Na 0.6825 0.8175 0.5638
Na 0.0000 0.0000 0.1961
Na 0.1824 0.6824 0.5640
Na 0.5000 0.5000 0.6729
Na 0.7500 0.2500 0.9129
Na 0.5000 0.5000 0.1961
Na 0.3176 0.8176 0.4360
Na 0.7500 0.2500 0.0871
Ag 0.5000 0.0000 0.1769
Ag 0.0000 0.5000 0.1769
Ag 0.0000 0.5000 0.8231
Ag 0.5000 0.0000 0.8231
Sn 0.5000 0.0000 0.0000
Sn 0.0000 0.5000 0.0000

Values from the calculation:
- space group = Cmme
- crystal system = orthorhombic

***

# 4
DFT (PBE) results for a geometry-optimized NaAgSn2 structure.

abc: 3.6159 3.6159 7.5706
angles: 90.00 90.00 90.00
Fractional coordinates of all 4 atoms:
Na 0.5000 0.5000 0.5000
Sn 0.0000 0.0000 0.7845
Sn 0.0000 0.0000 0.2155
Ag 0.5000 0.5000 0.0000

Values from the calculation:
- space group = P4/mmm
- crystal system = tetragonal

***

# 5
DFT (PBE) results for a geometry-optimized NaAg2Sn structure.

abc: 4.8973 4.8973 4.8973
angles: 60.00 60.00 60.00
Fractional coordinates of all 4 atoms:
Na 0.0000 0.0000 0.0000
Sn 0.5000 0.5000 0.5000
Ag 0.7500 0.7500 0.7500
Ag 0.2500 0.2500 0.2500

Values from the calculation:
- space group = Fm-3m
- crystal system = cubic

***

# 6
DFT (PBE) results for a geometry-optimized NaAg4Sn2 structure.

abc: 5.0485 5.0485 7.9253
angles: 71.43 71.43 90.00
Fractional coordinates of all 7 atoms:
Na 0.0000 0.0000 0.0000
Sn 0.3885 0.3885 0.2231
Sn 0.6115 0.6115 0.7769
Ag 0.1952 0.1952 0.6097
Ag 0.8048 0.8048 0.3903
Ag 0.0000 0.5000 0.0000
Ag 0.5000 0.0000 0.0000

Values from the calculation:
- space group = I4/mmm
- crystal system = tetragonal
- distance to the lowest polymorph of the same formula (meV per atom) = 404

***

# 7
DFT (PBE) results for a geometry-optimized Na3AgSn12 structure.

abc: 4.6623 4.6623 19.3873
angles: 90.00 90.00 90.00
Fractional coordinates of all 16 atoms:
Na 0.0000 0.0000 0.2477
Na 0.0000 0.0000 0.5000
Na 0.0000 0.0000 0.7523
Ag 0.0000 0.0000 0.0000
Sn 0.5000 0.5000 0.0000
Sn 0.5000 0.5000 0.2484
Sn 0.5000 0.5000 0.5000
Sn 0.5000 0.5000 0.7516
Sn 0.5000 0.0000 0.1198
Sn 0.5000 0.0000 0.3739
Sn 0.5000 0.0000 0.6261
Sn 0.5000 0.0000 0.8802
Sn 0.0000 0.5000 0.1198
Sn 0.0000 0.5000 0.3739
Sn 0.0000 0.5000 0.6261
Sn 0.0000 0.5000 0.8802

Values from the calculation:
- space group = P4/mmm
- crystal system = tetragonal

***

# 8
DFT (PBE) results for a geometry-optimized NaAg3Sn7 structure.

abc: 6.7003 6.9802 6.9802
angles: 120.00 90.00 90.00
Fractional coordinates of all 11 atoms:
Na 0.4721 0.3333 0.6667
Ag 0.7867 0.5237 0.4763
Ag 0.7867 0.5237 0.0475
Ag 0.7867 0.9525 0.4763
Sn 0.0695 0.1605 0.8395
Sn 0.0695 0.1605 0.3209
Sn 0.1482 0.6667 0.3333
Sn 0.4754 0.8512 0.1488
Sn 0.4754 0.2975 0.1488
Sn 0.4754 0.8512 0.7024
Sn 0.0695 0.6791 0.8395

Values from the calculation:
- space group = P3m1
- crystal system = trigonal

***

no.,energy of formation from the pure elements (meV/atom),total moment (μB/f.u.)
1,-41,0.00
2,-38,0.00
3,123,0.00
4,-47,0.00
5,-100,0.00
6,421,0.00
7,-56,0.00
8,36,0.00